Entry 1:
Compound: ScPIrS2
Source: the Alexandria database
Functional: PBE
Structure: relaxed

Cell: 4.729 4.729 4.934 Å, 90.00 90.00 90.00°
Element x y z (fractional)
1 Sc 0.000 0.000 0.000
2 P 0.000 0.000 0.500
3 S 0.000 0.500 0.000
4 S 0.500 0.000 0.000
5 Ir 0.500 0.500 0.500

Fermi-level density of states: 0.90 states/eV/atom
calculated total energy: -24.91 eV/f.u.
excess energy over the best structure of this formula in the dataset: 0.797 eV per atom
symmetry: No. 123

Entry 2:
Compound: ScP2IrS
Source: the Alexandria database
Functional: PBE
Structure: relaxed

Cell: 4.825 4.825 4.685 Å, 90.00 90.00 90.00°
Element x y z (fractional)
1 Sc 0.000 0.000 0.000
2 P 0.000 0.500 0.000
3 P 0.500 0.000 0.000
4 S 0.000 0.000 0.500
5 Ir 0.500 0.500 0.500

Fermi-level density of states: 0.85 states/eV/atom
calculated total energy: -25.11 eV/f.u.
excess energy over the best structure of this formula in the dataset: 0.883 eV per atom
symmetry: No. 123

Entry 3:
Compound: ScP2IrS
Source: the Alexandria database
Functional: PBE
Structure: relaxed

Cell: 4.493 4.493 5.066 Å, 90.00 90.00 90.00°
Element x y z (fractional)
1 Sc 0.500 0.500 0.500
2 P 0.000 0.500 0.000
3 P 0.500 0.000 0.000
4 S 0.000 0.000 0.500
5 Ir 0.000 0.000 0.000

Fermi-level density of states: 0.89 states/eV/atom
calculated total energy: -29.52 eV/f.u.
excess energy over the best structure of this formula in the dataset: 0.000 eV per atom
symmetry: No. 123

Entry 4:
Compound: PIrSeS2
Source: the Alexandria database
Functional: PBE
Structure: relaxed

Cell: 4.698 4.698 4.540 Å, 90.00 90.00 90.00°
Element x y z (fractional)
1 P 0.000 0.000 0.500
2 S 0.000 0.500 0.000
3 S 0.500 0.000 0.000
4 Ir 0.000 0.000 0.000
5 Se 0.500 0.500 0.500

Fermi-level density of states: 1.20 states/eV/atom
calculated total energy: -22.56 eV/f.u.
excess energy over the best structure of this formula in the dataset: 0.000 eV per atom
symmetry: No. 123

Question: Which of these has the lowest calculated total energy?
Answer: number 3

Question: Among the records above, which one has the highest calculated total energy?
Answer: PIrSeS2

Question: Which formula does entry 3 have?
Answer: ScP2IrS